1.
Material: AcYO
Method: DFT, PBE-GGA
State: optimized geometry

Geometry as CIF:
```
data_AcYO
_chemical_formula_sum 'Ac1 Y1 O1'
_cell_length_a 3.7159
_cell_length_b 3.7159
_cell_length_c 6.4148
_cell_angle_alpha 90.00
_cell_angle_beta 90.00
_cell_angle_gamma 120.00
_space_group_name_H-M_alt 'P 3 m 1'
_space_group_IT_number 156
loop_
_space_group_symop_operation_xyz
'x,y,z'
'-y,x-y,z'
'-x+y,-x,z'
'-y,-x,z'
'-x+y,y,z'
'x,x-y,z'
loop_
_atom_site_label
_atom_site_fract_x
_atom_site_fract_y
_atom_site_fract_z
_atom_site_occupancy
Ac1 0.0000 0.0000 0.0000 1
Y1 0.6667 0.3333 0.5446 1
O1 0.3333 0.6667 0.6906 1
```

## Properties
DOS at the Fermi energy = 1.91 states/eV/cell
electronic total energy = -6.814 eV per atom
raw formation energy = -1.64 eV/atom

***

2.
Material: Ac6YO12
Method: DFT, PBE-GGA
State: optimized geometry

Geometry as CIF:
```
data_Ac6YO12
_chemical_formula_sum 'Ac18 Y3 O36'
_cell_length_a 10.9406
_cell_length_b 10.9406
_cell_length_c 10.2629
_cell_angle_alpha 90.00
_cell_angle_beta 90.00
_cell_angle_gamma 120.00
_space_group_name_H-M_alt 'R -3'
_space_group_IT_number 148
_space_group_name_Hall '-R 3'
loop_
_atom_site_label
_atom_site_fract_x
_atom_site_fract_y
_atom_site_fract_z
_atom_site_occupancy
Ac1 0.0535 0.2600 0.1559 1
Y1 0.0000 0.0000 0.5000 1
O1 0.0401 0.2268 0.9033 1
O2 0.0413 0.2050 0.3963 1
```

## Properties
DOS at the Fermi energy = 59.81 states/eV/cell
electronic total energy = -7.806 eV per atom
raw formation energy = -3.04 eV/atom

***

3.
Material: AcY2O
Method: DFT, PBE-GGA
State: optimized geometry

Geometry as CIF:
```
data_AcY2O
_chemical_formula_sum 'Ac3 Y6 O3'
_cell_length_a 3.5830
_cell_length_b 3.5830
_cell_length_c 29.2548
_cell_angle_alpha 90.00
_cell_angle_beta 90.00
_cell_angle_gamma 120.00
_space_group_name_H-M_alt 'R -3 m'
_space_group_IT_number 166
_space_group_name_Hall '-R 3 2"'
loop_
_atom_site_label
_atom_site_fract_x
_atom_site_fract_y
_atom_site_fract_z
_atom_site_occupancy
Ac1 0.0000 0.0000 0.0000 1
Y1 0.0000 0.0000 0.1225 1
O1 0.0000 0.0000 0.5000 1
```

## Properties
DOS at the Fermi energy = 13.02 states/eV/cell
electronic total energy = -6.684 eV per atom
raw formation energy = -1.19 eV/atom

***

4.
Material: AcY2O
Method: DFT, PBE-GGA
State: optimized geometry

Geometry as CIF:
```
data_AcY2O
_chemical_formula_sum 'Ac1 Y2 O1'
_cell_length_a 3.324
_cell_length_b 3.324
_cell_length_c 8.967
_cell_angle_alpha 90.00
_cell_angle_beta 90.00
_cell_angle_gamma 90.00
_space_group_name_H-M_alt 'P 4/m m m'
_space_group_IT_number 123
_space_group_name_Hall '-P 4 2'
loop_
_atom_site_label
_atom_site_fract_x
_atom_site_fract_y
_atom_site_fract_z
_atom_site_occupancy
Ac1 0.000 0.000 0.000 1
Y1 0.500 0.500 0.328 1
O1 0.000 0.000 0.500 1
```

## Properties
DOS at the Fermi energy = 4.47 states/eV/cell
electronic total energy = -6.162 eV per atom
raw formation energy = -0.66 eV/atom

***

5.
Material: Ac3YO6
Method: DFT, PBE-GGA
State: optimized geometry

Geometry as CIF:
```
data_Ac3YO6
_chemical_formula_sum 'Ac18 Y6 O36'
_cell_length_a 10.4958
_cell_length_b 10.4958
_cell_length_c 12.1385
_cell_angle_alpha 90.00
_cell_angle_beta 90.00
_cell_angle_gamma 120.00
_space_group_name_H-M_alt 'R -3'
_space_group_IT_number 148
_space_group_name_Hall '-R 3'
loop_
_atom_site_label
_atom_site_fract_x
_atom_site_fract_y
_atom_site_fract_z
_atom_site_occupancy
Ac1 0.0391 0.7731 0.2076 1
Y1 0.0000 0.0000 0.0000 1
Y2 0.0000 0.0000 0.5000 1
O1 0.0267 0.8442 0.8804 1
O2 0.0316 0.8222 0.4067 1
```

## Properties
DOS at the Fermi energy = 0.00 states/eV/cell
electronic total energy = -8.238 eV per atom
raw formation energy = -3.38 eV/atom

***

6.
Material: AcYO3
Method: DFT, PBE-GGA
State: optimized geometry

Geometry as CIF:
```
data_AcYO3
_chemical_formula_sum 'Ac2 Y2 O6'
_cell_length_a 3.590
_cell_length_b 5.804
_cell_length_c 7.434
_cell_angle_alpha 90.00
_cell_angle_beta 90.00
_cell_angle_gamma 90.00
_space_group_name_H-M_alt 'P m m n'
_space_group_IT_number 59
loop_
_space_group_symop_operation_xyz
'x,y,z'
'-x,-y,-z'
'-x+1/2,-y+1/2,z'
'x+1/2,y+1/2,-z'
'x+1/2,-y,-z'
'-x+1/2,y,z'
'-x,y+1/2,-z'
'x,-y+1/2,z'
loop_
_atom_site_label
_atom_site_fract_x
_atom_site_fract_y
_atom_site_fract_z
_atom_site_occupancy
Ac1 0.250 0.250 0.143 1
Y1 0.250 0.750 0.400 1
O1 0.250 0.510 0.654 1
O2 0.250 0.750 0.075 1
```

## Properties
DOS at the Fermi energy = 0.00 states/eV/cell
electronic total energy = -8.418 eV per atom
raw formation energy = -3.33 eV/atom